# 1
Entry from the Alexandria database: Cs3LiAg2F6 after structural relaxation (PBE-GGA).

```
12
Lattice="6.488 0.000 0.000 -3.244 5.619 0.000 0.000 0.000 7.208" Properties=species:S:1:pos:R:3 pbc="T T T"
Cs 0.000 0.000 0.000
Cs 0.000 3.746 4.669
Cs 3.244 1.873 2.539
Li 0.000 0.000 3.604
Ag 0.000 3.746 1.303
Ag 3.244 1.873 5.905
F 0.000 1.746 2.298
F -1.732 4.746 2.298
F 1.512 0.873 4.910
F 1.732 4.746 2.298
F 4.976 0.873 4.910
F 3.244 3.873 4.910
```

Results
ρ = 4.6 g/cm3
Uncorrected formation energy = -2018 meV per atom
SG = P-3m1, No. 164
M_tot = 0.00 μB/f.u.



# 2
Entry from the Alexandria database: CsLiAgF3 after structural relaxation (PBE-GGA).

```
12
Lattice="3.130 -5.598 0.000 3.130 5.598 0.000 0.000 0.000 5.897" Properties=species:S:1:pos:R:3 pbc="T T T"
Cs 3.130 2.897 4.423
Cs 3.130 -2.897 1.474
Li 3.130 4.984 1.474
Li 3.130 -4.984 4.423
Ag 3.130 0.658 1.474
Ag 3.130 -0.658 4.423
F 1.314 0.000 0.000
F 1.314 0.000 2.949
F 3.130 3.060 1.474
F 3.130 -3.060 4.423
F 4.945 0.000 0.000
F 4.945 0.000 2.949
```

Results
ρ = 4.9 g/cm3
Uncorrected formation energy = -2167 meV per atom
SG = Cmcm, No. 63
M_tot = 0.00 μB/f.u.



# 3
Entry from the Alexandria database: Cs2Li2AgF7 after structural relaxation (PBE-GGA).

```
12
Lattice="2.995 -3.485 0.000 2.995 3.485 0.000 -1.768 0.000 10.354" Properties=species:S:1:pos:R:3 pbc="T T T"
Cs 0.651 0.000 3.747
Cs 3.572 0.000 6.608
Li 0.550 0.000 8.654
Li 3.673 0.000 1.700
Ag 0.000 0.000 0.000
F 2.346 2.206 1.383
F 1.877 2.206 8.971
F 0.668 0.000 6.758
F 2.995 0.000 0.000
F 3.555 0.000 3.596
F 2.346 -2.206 1.383
F 1.877 -2.206 8.971
```

Results
ρ = 4.0 g/cm3
Uncorrected formation energy = -2156 meV per atom
SG = C2/m, No. 12
M_tot = 0.23 μB/f.u.



# 4
Entry from the Alexandria database: Cs2LiAgF6 after structural relaxation (PBE-GGA).

```
10
Lattice="-3.104 3.104 4.428 3.104 -3.104 4.428 3.104 3.104 -4.428" Properties=species:S:1:pos:R:3 pbc="T T T"
Cs 3.104 0.000 2.214
Cs 0.000 3.104 2.214
Li 0.000 0.000 0.000
Ag 0.000 0.000 4.428
F 1.578 1.578 0.000
F 1.525 -1.525 4.428
F 0.000 0.000 2.276
F 0.000 0.000 6.580
F -1.525 1.525 4.428
F 1.525 1.525 4.428
```

Results
ρ = 4.8 g/cm3
Uncorrected formation energy = -2127 meV per atom
SG = I4/mmm, No. 139
M_tot = 2.00 μB/f.u.



# 5
Entry from the Alexandria database: CsLiAg2F8 after structural relaxation (PBE-GGA).

```
12
Lattice="2.870 1.657 7.228 -2.870 1.657 7.228 0.000 -3.315 7.228" Properties=species:S:1:pos:R:3 pbc="T T T"
Cs 0.000 0.000 0.000
Li 0.000 0.000 10.842
Ag 0.000 0.000 4.222
Ag 0.000 0.000 17.462
F -0.680 -1.766 9.917
F -1.870 -0.294 11.767
F 0.000 0.000 6.290
F -1.189 1.472 9.917
F 1.189 -1.472 11.767
F 0.000 0.000 15.394
F 1.870 0.294 9.917
F 0.680 1.766 11.767
```

Results
ρ = 4.1 g/cm3
Uncorrected formation energy = -1511 meV per atom
SG = R-3, No. 148
M_tot = 4.04 μB/f.u.



# 6
Entry from the Alexandria database: Cs2LiAgF4 after structural relaxation (PBE-GGA).

```
16
Lattice="6.650 0.000 0.000 0.000 6.650 0.000 0.000 0.000 7.489" Properties=species:S:1:pos:R:3 pbc="T T T"
Cs 0.000 0.000 0.000
Cs 0.000 3.325 1.872
Cs 3.325 0.000 5.617
Cs 3.325 3.325 3.745
Li 0.000 3.325 5.617
Li 3.325 0.000 1.872
Ag 0.000 0.000 3.745
Ag 3.325 3.325 0.000
F 0.938 4.701 4.639
F 1.376 2.388 6.594
F 1.949 0.938 2.850
F 2.388 5.274 0.895
F 4.263 1.376 0.895
F 4.701 5.713 2.850
F 5.274 4.263 6.594
F 5.713 1.949 4.639
```

Results
ρ = 4.6 g/cm3
Uncorrected formation energy = -2266 meV per atom
SG = I-4, No. 82
M_tot = 0.01 μB/f.u.



# 7
Entry from the Alexandria database: CsLi2Ag2F6 after structural relaxation (PBE-GGA).

```
11
Lattice="5.795 0.000 0.000 2.138 5.485 0.000 1.937 0.267 5.722" Properties=species:S:1:pos:R:3 pbc="T T T"
Cs 0.000 0.000 0.000
Li 5.141 2.409 4.611
Li 4.728 3.342 1.111
Ag 1.980 1.519 2.252
Ag 7.890 4.232 3.470
F 3.317 2.414 4.190
F 3.895 4.677 2.233
F 3.575 1.788 0.808
F 6.295 3.963 4.914
F 5.975 1.074 3.489
F 6.553 3.338 1.532
```

Results
ρ = 4.4 g/cm3
Uncorrected formation energy = -2008 meV per atom
SG = P-1, No. 2
M_tot = 1.03 μB/f.u.



# 8
Entry from the Alexandria database: Cs3Li2AgF6 after structural relaxation (PBE-GGA).

```
12
Lattice="6.431 0.000 0.000 -3.216 5.570 0.000 0.000 0.000 7.650" Properties=species:S:1:pos:R:3 pbc="T T T"
Cs 0.000 0.000 0.000
Cs 0.000 3.713 5.055
Cs 3.216 1.857 2.595
Li 0.000 3.713 1.946
Li 3.216 1.857 5.703
Ag 0.000 0.000 3.825
F 0.000 1.951 2.219
F -1.526 4.594 2.219
F 1.690 0.976 5.431
F 1.526 4.594 2.219
F 4.741 0.976 5.431
F 3.216 3.618 5.431
```

Results
ρ = 3.8 g/cm3
Uncorrected formation energy = -2408 meV per atom
SG = P-3m1, No. 164
M_tot = 0.14 μB/f.u.



# 9
Entry from the Alexandria database: Cs2Li2AgF6 after structural relaxation (PBE-GGA).

```
11
Lattice="5.660 -3.039 0.000 5.660 3.039 0.000 -2.652 0.000 5.898" Properties=species:S:1:pos:R:3 pbc="T T T"
Cs 1.995 0.000 1.013
Cs 6.673 0.000 4.885
Li 2.868 0.000 4.308
Li 5.800 0.000 1.590
Ag -1.326 0.000 2.949
F 4.813 1.538 1.494
F 1.099 0.000 4.127
F 3.855 1.538 4.404
F 4.813 -1.538 1.494
F 7.569 0.000 1.771
F 3.855 -1.538 4.404
```

Results
ρ = 4.1 g/cm3
Uncorrected formation energy = -2333 meV per atom
SG = C2/m, No. 12
M_tot = 0.97 μB/f.u.



# 10
Entry from the Alexandria database: Cs4Mg3AgF12 after structural relaxation (PBE-GGA).

```
20
Lattice="-4.320 4.320 4.320 4.320 -4.320 4.320 4.320 4.320 -4.320" Properties=species:S:1:pos:R:3 pbc="T T T"
Cs 2.160 2.160 -2.160
Cs 2.160 -2.160 2.160
Cs -2.160 2.160 2.160
Cs 2.160 2.160 2.160
Mg 4.320 0.000 0.000
Mg 0.000 4.320 0.000
Mg 0.000 0.000 4.320
Ag 0.000 0.000 0.000
F 2.301 0.000 0.000
F 6.338 0.000 0.000
F 4.320 2.160 0.000
F 4.320 0.000 2.160
F 0.000 2.301 0.000
F 0.000 0.000 2.301
F 2.160 4.320 0.000
F 2.160 0.000 4.320
F 0.000 6.338 0.000
F 0.000 0.000 6.338
F 0.000 4.320 2.160
F 0.000 2.160 4.320
```

Results
ρ = 4.8 g/cm3
Uncorrected formation energy = -2831 meV per atom
SG = Im-3m, No. 229
M_tot = 1.01 μB/f.u.



# 11
Entry from the Alexandria database: CsMgAgF4 after structural relaxation (PBE-GGA).

```
14
Lattice="5.747 0.000 0.000 0.000 6.222 0.000 -1.678 0.000 7.759" Properties=species:S:1:pos:R:3 pbc="T T T"
Cs 0.810 1.556 0.856
Cs 3.259 4.667 6.904
Mg 0.990 1.556 5.320
Mg 3.079 4.667 2.440
Ag 0.083 4.667 3.724
Ag 3.987 1.556 4.035
F -0.273 0.134 5.510
F -0.273 2.977 5.510
F 1.686 4.667 1.188
F 1.661 1.556 3.562
F 2.409 4.667 4.198
F 2.384 1.556 6.571
F 4.342 3.245 2.250
F 4.342 6.088 2.250
```

Results
ρ = 4.1 g/cm3
Uncorrected formation energy = -2497 meV per atom
SG = P2_1/m, No. 11
M_tot = 0.04 μB/f.u.



# 12
Entry from the Alexandria database: Cs3Mg2AgF9 after structural relaxation (PBE-GGA).

```
15
Lattice="6.122 0.000 0.000 -3.061 5.302 0.000 0.000 0.000 7.534" Properties=species:S:1:pos:R:3 pbc="T T T"
Cs 0.000 0.000 0.000
Cs 0.000 3.534 4.980
Cs 3.061 1.767 2.553
Mg 0.000 3.534 1.146
Mg 3.061 1.767 6.387
Ag 0.000 0.000 3.767
F -1.530 2.651 0.000
F 0.000 1.876 2.399
F -1.436 4.364 2.399
F 1.624 0.938 5.134
F 3.061 0.000 0.000
F 1.530 2.651 0.000
F 1.436 4.364 2.399
F 4.497 0.938 5.134
F 3.061 3.426 5.134
```

Results
ρ = 4.9 g/cm3
Uncorrected formation energy = -2722 meV per atom
SG = P-3m1, No. 164
M_tot = 1.02 μB/f.u.